# 1
The following is a SCAN calculation of a crystal of PtPbAu3 relaxed with PBEsol, from the Alexandria database.

Calculated values
The value obtained for the total energy is -346.61 eV per formula unit. The formation energy is 1368 meV per atom. Its polymorph energy (0 for the lowest one) is 918 meV per atom. The calculation puts the spin magnetization at 0.000 μB/f.u.

Cell lengths 5.0770, 5.0770, 5.0770 Å; angles 90.00, 90.00, 90.00 degrees
Last column: nearest neighbours and their distance in Å.
Sites, in units of the cell vectors:
Pb (0.0000, 0.0000, 0.0000)  6 Au 2.54
Au (0.0000, 0.5000, 0.0000)  2 Pb 2.54
Au (0.0000, 0.0000, 0.5000)  2 Pb 2.54
Au (0.5000, 0.0000, 0.0000)  2 Pb 2.54
Pt (0.5000, 0.5000, 0.5000)  12 Au 3.59



# 2
The following is a SCAN calculation of a crystal of PtPb2Au relaxed with PBEsol, from the Alexandria database.

Calculated values
The value obtained for the total energy is -291.29 eV per formula unit. The formation energy is -94 meV per atom. Its polymorph energy (0 for the lowest one) is 0 meV per atom. The calculation puts the spin magnetization at 0.000 μB/f.u.

Cell lengths 3.7923, 4.3315, 5.6366 Å; angles 90.00, 109.66, 90.00 degrees
Last column: nearest neighbours and their distance in Å.
Sites, in units of the cell vectors:
Pb (0.9806, 0.0000, 0.9612)  3 Pt 2.87-3.09, 4 Au 2.95
Pb (0.2678, 0.5000, 0.5357)  3 Au 2.90-3.06, 4 Pt 2.94
Au (0.5412, 0.5000, 0.0825)  2 Pt 2.81, 7 Pb 2.90-3.06
Pt (0.7106, 0.0000, 0.4211)  2 Au 2.81, 7 Pb 2.87-3.09



# 3
The following is a SCAN calculation of a crystal of PuPbAu2 relaxed with PBEsol, from the Alexandria database.

Calculated values
The value obtained for the total energy is -325.29 eV per formula unit. The formation energy is -264 meV per atom. The calculation puts the spin magnetization at 5.443 μB/f.u.

Cell lengths 4.9849, 4.9849, 4.9849 Å; angles 60.00, 60.00, 60.00 degrees
Last column: nearest neighbours and their distance in Å.
Sites, in units of the cell vectors:
Pb (0.0000, 0.0000, 0.0000)  8 Au 3.05
Au (0.2500, 0.2500, 0.2500)  4 Pu 3.05, 4 Pb 3.05
Au (0.7500, 0.7500, 0.7500)  4 Pu 3.05, 4 Pb 3.05
Pu (0.5000, 0.5000, 0.5000)  8 Au 3.05



# 4
The following is a SCAN calculation of a crystal of Rb3PbAu relaxed with PBEsol, from the Alexandria database.

Calculated values
The value obtained for the total energy is -207.51 eV per formula unit. The formation energy is -70 meV per atom. The calculation puts the spin magnetization at 2.016 μB/f.u.

Cell lengths 6.3539, 6.3539, 6.3539 Å; angles 90.00, 90.00, 90.00 degrees
Last column: nearest neighbours and their distance in Å.
Sites, in units of the cell vectors:
Pb (0.5000, 0.5000, 0.5000)  12 Rb 4.49
Au (0.0000, 0.0000, 0.0000)  6 Rb 3.18
Rb (0.0000, 0.5000, 0.0000)  2 Au 3.18
Rb (0.0000, 0.0000, 0.5000)  2 Au 3.18
Rb (0.5000, 0.0000, 0.0000)  2 Au 3.18



# 5
The following is a SCAN calculation of a crystal of RbPb2Au2 relaxed with PBEsol, from the Alexandria database.

Calculated values
The value obtained for the total energy is -311.86 eV per formula unit. The formation energy is -249 meV per atom. The calculation puts the spin magnetization at 0.000 μB/f.u.

Cell lengths 5.0231, 5.0231, 6.8079 Å; angles 111.65, 111.65, 90.00 degrees
Last column: nearest neighbours and their distance in Å.
Sites, in units of the cell vectors:
Pb (0.3603, 0.3603, 0.7205)  4 Au 2.82
Pb (0.6397, 0.6397, 0.2795)  4 Au 2.82
Au (0.2500, 0.7500, 0.5000)  4 Pb 2.82
Au (0.7500, 0.2500, 0.5000)  4 Pb 2.82
Rb (0.0000, 0.0000, 0.0000)  8 Au 3.84, 10 Pb 3.91-4.18



# 6
The following is a SCAN calculation of a crystal of Re2PbAu relaxed with PBEsol, from the Alexandria database.

Calculated values
The value obtained for the total energy is -285.03 eV per formula unit. The formation energy is 527 meV per atom. The calculation puts the spin magnetization at 0.000 μB/f.u.

Cell lengths 2.9142, 2.9142, 9.8441 Å; angles 81.49, 81.49, 60.00 degrees
Last column: nearest neighbours and their distance in Å.
Sites, in units of the cell vectors:
Au (0.4917, 0.4917, 0.5249)  3 Re 2.89, 6 Au 2.91
Pb (0.2543, 0.2543, 0.2371)  6 Pb 2.91, 3 Re 3.08, 3 Au 3.26
Re (0.0095, 0.0095, 0.9714)  9 Re 2.60-2.91
Re (0.7445, 0.7445, 0.7666)  9 Re 2.60-2.91, 3 Au 2.89



# 7
The following is a SCAN calculation of a crystal of RePb2Au relaxed with PBEsol, from the Alexandria database.

Calculated values
The value obtained for the total energy is -288.26 eV per formula unit. The formation energy is 890 meV per atom. Its polymorph energy (0 for the lowest one) is 292 meV per atom. The calculation puts the spin magnetization at 0.001 μB/f.u.

Cell lengths 2.9868, 2.9868, 10.4753 Å; angles 90.00, 90.00, 113.86 degrees
Last column: nearest neighbours and their distance in Å.
Sites, in units of the cell vectors:
Au (0.5000, 0.5000, 0.0000)  6 Au 2.99-3.26, 4 Pb 3.26
Pb (0.0000, 0.0000, 0.2699)  2 Re 2.91, 4 Pb 2.99
Pb (0.0000, 0.0000, 0.7301)  2 Re 2.91, 4 Pb 2.99
Re (0.5000, 0.5000, 0.5000)  4 Pb 2.91, 4 Re 2.99



# 8
The following is a SCAN calculation of a crystal of RePb2Au relaxed with PBEsol, from the Alexandria database.

Calculated values
The value obtained for the total energy is -289.43 eV per formula unit. The formation energy is 598 meV per atom. Its polymorph energy (0 for the lowest one) is 0 meV per atom. The calculation puts the spin magnetization at 0.679 μB/f.u.

Cell lengths 3.0862, 3.0862, 9.1799 Å; angles 90.00, 90.00, 90.00 degrees
Last column: nearest neighbours and their distance in Å.
Sites, in units of the cell vectors:
Au (0.5000, 0.5000, 0.7137)  4 Re 2.75, 4 Pb 3.07
Pb (0.0000, 0.0000, 0.9496)  4 Au 3.07, 4 Pb 3.09
Pb (0.5000, 0.5000, 0.3049)  4 Re 3.02, 4 Pb 3.09
Re (0.0000, 0.0000, 0.5319)  4 Au 2.75, 4 Pb 3.02



# 9
The following is a SCAN calculation of a crystal of RePbAu4 relaxed with PBEsol, from the Alexandria database.

Calculated values
The value obtained for the total energy is -419.00 eV per formula unit. The formation energy is 751 meV per atom. The calculation puts the spin magnetization at 3.640 μB/f.u.

Cell lengths 5.4565, 5.4565, 5.4565 Å; angles 60.00, 60.00, 60.00 degrees
Last column: nearest neighbours and their distance in Å.
Sites, in units of the cell vectors:
Au (0.3745, 0.3745, 0.3745)  6 Au 2.72-2.74
Au (0.3745, 0.3745, 0.8765)  6 Au 2.72-2.74
Au (0.8765, 0.3745, 0.3745)  6 Au 2.72-2.74
Au (0.3745, 0.8765, 0.3745)  6 Au 2.72-2.74
Pb (0.7500, 0.7500, 0.7500)  12 Au 3.20, 4 Re 3.34
Re (0.0000, 0.0000, 0.0000)  12 Au 3.20, 4 Pb 3.34



# 10
The following is a SCAN calculation of a crystal of Re2PbAu relaxed with PBEsol, from the Alexandria database.

Calculated values
The value obtained for the total energy is -282.17 eV per formula unit. The formation energy is 1240 meV per atom. The calculation puts the spin magnetization at 0.000 μB/f.u.

Cell lengths 2.7768, 2.7768, 9.5889 Å; angles 90.00, 90.00, 106.68 degrees
Last column: nearest neighbours and their distance in Å.
Sites, in units of the cell vectors:
Au (0.5000, 0.5000, 0.5000)  4 Re 2.76, 4 Au 2.78
Pb (0.5000, 0.5000, 0.0000)  4 Pb 2.78, 4 Re 3.07
Re (0.0000, 0.0000, 0.2700)  2 Au 2.76, 4 Re 2.78, 2 Pb 3.07
Re (0.0000, 0.0000, 0.7300)  2 Au 2.76, 4 Re 2.78, 2 Pb 3.07



# 11
The following is a SCAN calculation of a crystal of RePb2Au relaxed with PBEsol, from the Alexandria database.

Calculated values
The value obtained for the total energy is -287.75 eV per formula unit. The formation energy is 1017 meV per atom. Its polymorph energy (0 for the lowest one) is 420 meV per atom. The calculation puts the spin magnetization at 1.672 μB/f.u.

Cell lengths 4.8663, 4.8663, 4.8663 Å; angles 60.00, 60.00, 60.00 degrees
Last column: nearest neighbours and their distance in Å.
Sites, in units of the cell vectors:
Au (0.0000, 0.0000, 0.0000)  8 Pb 2.98
Pb (0.2500, 0.2500, 0.2500)  4 Au 2.98, 4 Re 2.98
Pb (0.7500, 0.7500, 0.7500)  4 Re 2.98, 4 Au 2.98
Re (0.5000, 0.5000, 0.5000)  8 Pb 2.98



# 12
The following is a SCAN calculation of a crystal of RhPbAu2 relaxed with PBEsol, from the Alexandria database.

Calculated values
The value obtained for the total energy is -247.35 eV per formula unit. The formation energy is 129 meV per atom. The calculation puts the spin magnetization at 0.000 μB/f.u.

Cell lengths 3.3222, 3.6899, 5.8751 Å; angles 90.00, 90.00, 90.00 degrees
Last column: nearest neighbours and their distance in Å.
Sites, in units of the cell vectors:
Au (0.0000, 0.0000, 0.0063)  4 Au 2.79, 2 Pb 2.85-3.03, 4 Rh 2.91
Au (0.5000, 0.5000, 0.2246)  4 Au 2.79, 2 Rh 2.81-3.07, 4 Pb 3.04
Pb (0.0000, 0.0000, 0.5220)  4 Rh 2.81, 6 Au 2.85-3.04
Rh (0.5000, 0.5000, 0.7471)  6 Au 2.81-3.07, 4 Pb 2.81



| no. | Fermi-level density of states (states/eV/atom) |
| --- | --- |
| 1 | 0.8702 |
| 2 | 0.4145 |
| 3 | 3.7754 |
| 4 | 0.7590 |
| 5 | 0.4837 |
| 6 | 0.4594 |
| 7 | 0.6463 |
| 8 | 0.6370 |
| 9 | 0.4559 |
| 10 | 0.7304 |
| 11 | 0.6260 |
| 12 | 0.5459 |